LiCaMg2Cd4: optimized geometry, PBE.

Summary:
Space group   R-3m, No. 166
Fermi-level density of states   3.10 states/eV/cell
M_tot   0.0 μB per formula unit
Formation energy from the elements   -0.214 eV per atom

Unit cell a=5.004 b=5.004 c=8.823 alpha=73.53 beta=73.53 gamma=60.00
Fractional coordinates of all 8 atoms:
Mg  0.750  0.750  0.750
Mg  0.250  0.250  0.250
Ca  0.000  0.000  0.000
Cd  0.130  0.130  0.610
Cd  0.385  0.385  0.845
Cd  0.870  0.870  0.390
Cd  0.615  0.615  0.155
Li  0.500  0.500  0.500